DFT (PBE-GGA) results for a geometry-optimized CdW structure.

The structure in CIF format:
```
data_CdW
_symmetry_space_group_name_H-M 'C 1 m 1'
_symmetry_Int_Tables_number 8
_symmetry_space_group_name_Hall 'C -2y'
_cell_length_a 11.2522
_cell_length_b 2.7831
_cell_length_c 7.2110
_cell_angle_alpha 90.00
_cell_angle_beta 103.46
_cell_angle_gamma 90.00
loop_
_atom_site_label
_atom_site_fract_x
_atom_site_fract_y
_atom_site_fract_z
Cd1 0.0000 0.0000 0.0000
Cd2 0.0655 0.0000 0.6122
Cd3 0.3280 0.0000 0.6667
W1 0.1779 0.5000 0.3093
W2 0.2315 0.5000 0.9759
W3 0.3906 0.0000 0.2870
```

Summary:
DFT formation energy ... 59 kJ per mole of atoms
DOS(E_F) ... 0.87 states/eV/atom
Spin magnetization ... 0.00 μB per formula unit


DFT (PBE-GGA) results for a geometry-optimized CdW5 structure.

The structure in CIF format:
```
data_CdW5
_symmetry_space_group_name_H-M 'P 6/m m m'
_symmetry_Int_Tables_number 191
_symmetry_space_group_name_Hall '-P 6 2'
_cell_length_a 5.3505
_cell_length_b 5.3505
_cell_length_c 4.5406
_cell_angle_alpha 90.00
_cell_angle_beta 90.00
_cell_angle_gamma 120.00
loop_
_atom_site_label
_atom_site_fract_x
_atom_site_fract_y
_atom_site_fract_z
Cd1 0.0000 0.0000 0.0000
W1 0.0000 0.5000 0.5000
W2 0.3333 0.6667 0.0000
```

Summary:
DFT formation energy ... 68 kJ per mole of atoms
DOS(E_F) ... 0.58 states/eV/atom
Spin magnetization ... 0.00 μB per formula unit


DFT (PBE-GGA) results for a geometry-optimized CdW structure.

The structure in CIF format:
```
data_CdW
_symmetry_space_group_name_H-M 'P m m a'
_symmetry_Int_Tables_number 51
_symmetry_space_group_name_Hall '-P 2a 2a'
_cell_length_a 4.7571
_cell_length_b 2.8105
_cell_length_c 5.4139
_cell_angle_alpha 90.00
_cell_angle_beta 90.00
_cell_angle_gamma 90.00
loop_
_atom_site_label
_atom_site_fract_x
_atom_site_fract_y
_atom_site_fract_z
Cd1 0.2500 0.0000 0.1365
W1 0.2500 0.5000 0.6185
```

Summary:
DFT formation energy ... 62 kJ per mole of atoms
DOS(E_F) ... 0.59 states/eV/atom
Spin magnetization ... 0.00 μB per formula unit